1.
La3DyC8 at its PBEsol-relaxed geometry. Source: Alexandria, functional meta-GGA SCAN. Values from VASP.

## Properties
The energy of formation from the pure elements comes out at -0.2767 eV per atom. As for the density of states at the Fermi level: 3.76 states/eV/f.u.

Cell and atoms, written as Quantum ESPRESSO input:
```
&SYSTEM
  ibrav = 0, nat = 12, ntyp = 3
/
ATOMIC_SPECIES
C 12.01 C.upf
Dy 162.50 Dy.upf
La 138.91 La.upf
ATOMIC_POSITIONS angstrom
C 2.592 -5.151 4.929
C 0.060 -2.743 -0.479
C 2.082 -4.666 3.839
C 0.971 -0.923 2.074
Dy 0.000 0.000 0.000
C 3.581 -3.405 7.647
La 2.532 -2.407 5.407
La 3.607 -6.117 7.097
La 1.066 -3.701 1.671
C 1.482 -1.410 3.166
C 4.092 -3.892 8.740
C 4.614 -7.074 9.248
CELL_PARAMETERS angstrom
-2.678 -2.740 0.034
2.288 -2.263 -2.079
5.063 -4.815 10.814
```

***

2.
Dy11Mn12C18 at its PBEsol-relaxed geometry. Source: Alexandria, functional meta-GGA SCAN. Values from VASP.

## Properties
The energy of formation from the pure elements comes out at -0.4029 eV per atom. As for the density of states at the Fermi level: 13.61 states/eV/f.u.

Cell and atoms, written as Quantum ESPRESSO input:
```
&SYSTEM
  ibrav = 0, nat = 41, ntyp = 3
/
ATOMIC_SPECIES
C 12.01 C.upf
Mn 54.94 Mn.upf
Dy 162.50 Dy.upf
ATOMIC_POSITIONS angstrom
C 3.193 0.899 1.558
Mn -1.511 2.020 1.301
C 2.494 -1.764 3.055
Dy 4.339 0.000 3.543
Mn 3.507 2.705 4.686
C -3.291 2.327 4.030
Dy -1.701 -2.406 4.167
C 0.301 6.383 0.000
Mn 2.408 -0.751 1.301
Mn 2.408 1.503 0.000
C -3.109 -0.780 5.528
Dy 1.446 5.113 1.771
Mn -1.511 0.117 2.400
Dy -1.446 1.023 5.314
C 2.676 3.784 3.440
Mn -3.377 3.339 5.784
Mn 4.274 6.045 1.098
Mn 0.614 2.771 0.000
Dy -1.701 4.811 0.000
Dy 5.103 0.000 0.000
Dy 1.192 1.685 2.919
C 0.132 2.885 4.997
C 2.494 3.527 0.000
C 5.918 2.411 0.000
C 3.291 4.654 0.000
C -2.494 1.764 3.055
C 3.291 -2.327 4.030
Dy 1.446 -1.023 5.314
C 2.676 1.087 4.997
C -0.217 3.311 1.558
Dy 0.000 0.000 0.000
Mn 1.382 4.208 4.686
C -0.217 -0.306 3.646
Mn 1.382 1.954 5.987
Mn 0.614 -1.385 2.400
Dy 4.339 3.068 1.771
C -3.109 5.177 2.088
Mn 4.274 -2.071 5.784
Dy -1.446 4.091 3.543
C 0.301 -3.191 5.528
C 5.918 -1.206 2.088
CELL_PARAMETERS angstrom
8.678 0.000 0.000
-2.893 8.181 0.000
-2.893 -4.091 7.085
```

***

3.
Dy12Mn5C15 at its PBEsol-relaxed geometry. Source: Alexandria, functional meta-GGA SCAN. Values from VASP.

## Properties
The energy of formation from the pure elements comes out at -0.4611 eV per atom. As for the density of states at the Fermi level: 8.16 states/eV/f.u.

Cell and atoms, written as Quantum ESPRESSO input:
```
&SYSTEM
  ibrav = 0, nat = 32, ntyp = 3
/
ATOMIC_SPECIES
C 12.01 C.upf
Dy 162.50 Dy.upf
Mn 54.94 Mn.upf
ATOMIC_POSITIONS angstrom
C 2.494 1.242 7.213
Dy 2.494 4.440 0.000
C 2.494 3.456 2.531
Mn 0.000 -0.787 1.363
Dy 2.494 2.942 5.096
Dy 0.000 5.586 4.861
Mn 0.000 1.573 0.000
Dy 2.494 -2.220 3.845
C 0.000 2.812 4.871
Dy 0.000 1.416 7.268
C 0.000 4.700 0.000
C 0.000 -4.120 7.137
Mn 2.494 5.162 2.980
Dy 2.494 8.206 0.000
C 2.494 -1.706 6.410
Dy 0.000 0.424 4.080
Mn 2.494 0.000 5.961
Mn 0.000 4.375 7.578
Dy 0.000 -1.841 6.533
C 0.000 -2.350 4.070
Dy 0.000 6.578 1.673
C 0.000 3.344 0.000
C 2.494 0.464 4.259
C 2.494 5.626 4.682
Dy 2.494 1.059 1.834
C 2.494 6.404 1.728
C 0.000 8.241 0.000
C 0.000 3.490 6.045
Dy 0.000 3.321 2.407
C 0.000 -1.672 2.896
Dy 2.494 -4.103 7.107
C 0.000 1.042 1.804
CELL_PARAMETERS angstrom
4.988 0.000 0.000
0.000 10.324 0.000
0.000 -5.162 8.941
```

***

4.
DyMn2SiC at its PBEsol-relaxed geometry. Source: Alexandria, functional meta-GGA SCAN. Values from VASP.

## Properties
The energy relative to the elements, uncorrected comes out at -0.5862 eV/atom. As for the density of states at the Fermi level: 2.13 states/eV/f.u.

Cell and atoms, written as Quantum ESPRESSO input:
```
&SYSTEM
  ibrav = 0, nat = 10, ntyp = 4
/
ATOMIC_SPECIES
Mn 54.94 Mn.upf
Si 28.09 Si.upf
Dy 162.50 Dy.upf
C 12.01 C.upf
ATOMIC_POSITIONS angstrom
Mn 4.390 -0.547 6.102
Si 4.140 0.624 4.081
Dy 1.457 0.578 5.269
C 1.245 1.436 2.868
C 0.000 0.000 0.000
Mn 1.609 -0.796 0.221
Si 1.859 -1.968 2.242
Mn 2.540 0.277 2.365
Mn 3.459 -1.621 3.958
Dy 4.543 -1.921 1.054
CELL_PARAMETERS angstrom
-1.583 -2.641 2.010
5.093 -1.575 -1.422
2.490 2.873 5.735
```

***

5.
Na2DyPCO7 at its PBEsol-relaxed geometry. Source: Alexandria, functional meta-GGA SCAN. Values from VASP.

## Properties
The energy relative to the elements, uncorrected comes out at -2.5779 eV/atom. As for the density of states at the Fermi level: 0.00 states/eV/f.u.

Cell and atoms, written as Quantum ESPRESSO input:
```
&SYSTEM
  ibrav = 0, nat = 24, ntyp = 5
/
ATOMIC_SPECIES
O 16.00 O.upf
Na 22.99 Na.upf
P 30.97 P.upf
C 12.01 C.upf
Dy 162.50 Dy.upf
ATOMIC_POSITIONS angstrom
O 1.179 1.735 3.946
Na 3.717 0.084 7.414
O 0.842 0.467 6.116
O 3.472 1.735 8.925
Na 1.182 3.554 1.963
O 2.227 5.205 7.759
P 3.447 5.205 3.884
O 0.842 3.003 6.116
O 3.721 5.205 5.431
Na 3.717 3.386 7.414
O 2.999 1.735 5.654
P 1.452 1.735 5.493
C 1.186 5.205 8.572
C 3.713 1.735 0.805
Na 1.182 6.857 1.963
O 0.035 5.205 7.952
O 1.900 5.205 3.723
Dy 3.848 1.735 3.526
O 2.672 1.735 1.618
O 4.057 3.937 3.261
O 4.864 1.735 1.425
O 1.427 5.205 0.452
O 4.057 6.473 3.261
Dy 1.051 5.205 5.851
CELL_PARAMETERS angstrom
5.019 0.000 0.007
0.000 6.940 0.000
-0.120 0.000 9.370
```

***

6.
DyNiC2 at its PBEsol-relaxed geometry. Source: Alexandria, functional meta-GGA SCAN. Values from VASP.

## Properties
The energy of formation from the pure elements comes out at -0.4226 eV per atom. As for the density of states at the Fermi level: 0.91 states/eV/f.u.

Cell and atoms, written as Quantum ESPRESSO input:
```
&SYSTEM
  ibrav = 0, nat = 4, ntyp = 3
/
ATOMIC_SPECIES
C 12.01 C.upf
Dy 162.50 Dy.upf
Ni 58.69 Ni.upf
ATOMIC_POSITIONS angstrom
C 1.868 0.535 1.768
Dy 3.700 0.017 0.000
C 2.694 1.634 1.768
Ni 0.810 2.191 1.768
CELL_PARAMETERS angstrom
3.711 0.008 0.000
-1.021 3.568 0.000
0.000 0.000 3.537
```

***

7.
Dy4Ni13C4 at its PBEsol-relaxed geometry. Source: Alexandria, functional meta-GGA SCAN. Values from VASP.

## Properties
The energy of formation from the pure elements comes out at -0.3537 eV per atom. As for the density of states at the Fermi level: 9.47 states/eV/f.u.

Cell and atoms, written as Quantum ESPRESSO input:
```
&SYSTEM
  ibrav = 0, nat = 21, ntyp = 3
/
ATOMIC_SPECIES
Ni 58.69 Ni.upf
C 12.01 C.upf
Dy 162.50 Dy.upf
ATOMIC_POSITIONS angstrom
Ni 1.899 0.993 1.017
Ni 0.000 3.405 6.488
Ni 1.899 -0.093 4.129
Ni 0.000 7.514 5.873
Ni 0.000 0.000 0.000
C 0.000 4.524 3.660
Ni 0.000 1.670 4.710
Ni 0.000 5.691 7.653
Ni 0.000 2.383 0.618
Ni 0.000 4.669 1.783
Dy 1.899 2.812 2.881
C 0.000 4.130 0.006
Dy 1.899 6.674 1.561
C 0.000 3.550 4.611
Ni 1.899 4.130 0.006
Dy 1.899 5.262 5.390
Ni 0.000 6.404 3.560
Dy 1.899 1.400 6.710
C 0.000 -0.093 4.129
Ni 1.899 7.082 7.254
Ni 0.000 0.560 2.397
CELL_PARAMETERS angstrom
3.797 0.000 0.000
0.000 8.261 0.012
0.000 -0.187 8.259
```

***

8.
DyCO4 at its PBEsol-relaxed geometry. Source: Alexandria, functional meta-GGA SCAN. Values from VASP.

## Properties
The energy relative to the elements, uncorrected comes out at -2.3194 eV/atom.

Cell and atoms, written as Quantum ESPRESSO input:
```
&SYSTEM
  ibrav = 0, nat = 108, ntyp = 3
/
ATOMIC_SPECIES
C 12.01 C.upf
O 16.00 O.upf
Dy 162.50 Dy.upf
ATOMIC_POSITIONS angstrom
C 0.000 5.788 8.117
O 4.805 7.123 1.954
O 1.134 6.429 0.901
O 8.475 3.466 4.201
O 5.925 -1.840 8.402
O 8.488 9.482 0.829
O 7.730 -1.930 10.217
C 0.000 6.759 1.409
O 2.939 7.917 0.011
O 3.677 2.493 0.788
O 0.000 4.287 2.488
O 4.805 0.682 8.658
C 4.805 10.486 1.796
O 5.922 8.236 4.264
O 3.677 5.336 7.666
O 3.688 8.236 4.264
O 1.129 -2.447 7.643
Dy 7.175 -2.036 5.663
O 3.677 9.871 1.765
O 8.488 1.877 1.593
O 1.129 0.504 4.279
O 1.134 3.466 4.201
Dy 7.285 3.892 9.042
Dy 7.285 -0.016 2.328
O 1.880 -1.983 3.439
O 0.000 -0.654 1.791
O 2.939 1.951 3.357
O 8.475 7.805 5.117
O 2.417 5.900 3.406
O 3.684 -0.456 4.425
O 0.000 0.042 8.598
Dy 2.435 -2.036 5.663
C 4.805 2.213 0.240
C 4.805 0.112 4.715
O 5.932 9.871 1.765
O 3.688 3.989 5.000
O 4.805 -0.026 1.889
O 4.805 -4.252 9.297
O 0.000 -1.567 5.956
O 6.671 7.917 0.011
Dy 7.153 3.899 2.231
Dy 7.285 -3.876 9.069
C 0.000 3.741 3.661
O 4.805 4.031 3.074
O 7.190 0.000 0.000
C 0.000 1.330 8.523
O 1.121 1.877 1.593
O 7.247 0.000 6.813
O 3.688 5.475 0.955
O 7.730 -1.983 3.439
O 8.480 -2.447 7.643
O 6.671 7.832 6.851
C 0.000 1.877 0.954
O 0.000 -4.022 9.890
O 5.932 2.493 0.788
Dy 2.435 2.014 5.624
O 8.488 6.341 7.797
O 5.925 2.296 7.612
Dy 7.175 0.022 9.151
Dy 2.456 7.919 2.261
O 1.134 7.805 5.117
O 2.363 0.000 6.813
O 4.805 -1.939 6.481
C 0.000 7.200 5.148
O 0.000 1.525 5.884
O 4.805 6.547 5.192
Dy 7.175 2.014 5.624
O 1.880 -1.930 10.217
O 8.480 0.504 4.279
O 2.939 7.832 6.851
C 4.805 1.761 7.959
Dy 2.456 5.882 5.728
Dy 2.435 0.022 9.151
O 2.419 0.000 0.000
Dy 7.153 5.882 5.728
O 1.129 1.942 8.517
O 5.932 5.336 7.666
O 4.805 4.277 9.253
C 4.805 -1.873 7.765
C 4.805 7.669 4.573
Dy 2.324 -0.016 2.328
O 0.000 4.676 8.757
O 7.192 5.900 3.406
C 4.805 6.026 1.291
C 0.000 10.035 1.149
Dy 2.324 3.892 9.042
O 1.121 9.482 0.829
O 5.922 5.475 0.955
O 5.922 3.989 5.000
O 0.000 5.911 5.262
O 7.730 3.913 6.783
O 1.121 6.341 7.797
Dy 2.456 3.899 2.231
Dy 7.153 7.919 2.261
O 8.480 1.942 8.517
O 1.880 3.913 6.783
O 3.684 2.296 7.612
O 3.684 -1.840 8.402
C 0.000 0.816 4.806
C 4.805 4.005 4.355
Dy 2.324 -3.876 9.069
O 6.671 1.951 3.357
C 0.000 -2.146 7.110
O 4.805 1.257 5.299
O 8.475 6.429 0.901
C 4.805 5.002 8.183
O 0.000 7.502 2.469
O 5.925 -0.456 4.425
CELL_PARAMETERS angstrom
9.610 0.000 0.000
0.000 11.800 0.000
0.000 -5.900 10.219
```

***

9.
Dy2CO5 at its PBEsol-relaxed geometry. Source: Alexandria, functional meta-GGA SCAN. Values from VASP.

## Properties
The energy relative to the elements, uncorrected comes out at -3.0951 eV/atom. The value obtained for the offset from the most stable computed form is 0.002 eV/atom. As for the density of states at the Fermi level: 0.00 states/eV/f.u.

Cell and atoms, written as Quantum ESPRESSO input:
```
&SYSTEM
  ibrav = 0, nat = 16, ntyp = 3
/
ATOMIC_SPECIES
C 12.01 C.upf
O 16.00 O.upf
Dy 162.50 Dy.upf
ATOMIC_POSITIONS angstrom
C -3.646 3.992 10.463
O -0.176 1.917 4.516
O -0.116 0.998 2.409
Dy -2.156 4.286 12.953
O -0.380 5.005 11.369
Dy -2.033 2.398 8.628
O -1.982 1.488 6.558
O -1.831 -0.828 1.251
C -3.491 1.424 3.382
O -2.475 3.539 10.693
Dy -2.146 3.279 5.187
O -2.422 2.074 3.129
O -0.320 4.085 9.261
O -2.213 4.187 7.257
O -2.364 6.503 12.564
Dy -2.023 1.391 0.862
CELL_PARAMETERS angstrom
-2.200 2.813 -1.290
-1.647 -3.153 1.329
-0.392 6.012 13.776
```

***

10.
Dy2CO5 at its PBEsol-relaxed geometry. Source: Alexandria, functional meta-GGA SCAN. Values from VASP.

## Properties
The energy relative to the elements, uncorrected comes out at -3.0974 eV/atom. The value obtained for the offset from the most stable computed form is 0.000 eV/atom. As for the density of states at the Fermi level: 0.00 states/eV/f.u.

Cell and atoms, written as Quantum ESPRESSO input:
```
&SYSTEM
  ibrav = 0, nat = 16, ntyp = 3
/
ATOMIC_SPECIES
Dy 162.50 Dy.upf
O 16.00 O.upf
C 12.01 C.upf
ATOMIC_POSITIONS angstrom
Dy 1.870 1.116 8.901
O 1.870 1.107 0.863
O 0.000 0.103 12.404
C 0.000 0.500 3.752
O 1.870 1.607 11.256
O 1.870 3.279 2.604
Dy 0.000 2.267 1.397
O 0.000 0.103 10.107
O 0.000 1.776 3.752
O 0.000 2.276 14.145
Dy 0.000 2.267 6.107
Dy 1.870 1.116 13.610
O 0.000 2.276 8.367
C 1.870 2.882 11.256
O 1.870 1.107 6.641
O 1.870 3.279 4.900
CELL_PARAMETERS angstrom
3.739 0.000 0.000
-1.870 3.382 0.000
0.000 0.000 15.008
```

***

11.
Dy3PbC at its PBEsol-relaxed geometry. Source: Alexandria, functional meta-GGA SCAN. Values from VASP.

## Properties
The energy of formation from the pure elements comes out at -0.7258 eV per atom. As for the density of states at the Fermi level: 1.88 states/eV/f.u.

Cell and atoms, written as Quantum ESPRESSO input:
```
&SYSTEM
  ibrav = 0, nat = 5, ntyp = 3
/
ATOMIC_SPECIES
Dy 162.50 Dy.upf
Pb 207.20 Pb.upf
C 12.01 C.upf
ATOMIC_POSITIONS angstrom
Dy 0.000 2.424 2.424
Pb 0.000 0.000 0.000
Dy 2.424 0.000 2.424
C 2.424 2.424 2.424
Dy 2.424 2.424 0.000
CELL_PARAMETERS angstrom
4.848 0.000 0.000
0.000 4.848 0.000
0.000 0.000 4.848
```

***

12.
PrDyC4 at its PBEsol-relaxed geometry. Source: Alexandria, functional meta-GGA SCAN. Values from VASP.

## Properties
The energy of formation from the pure elements comes out at -0.2440 eV per atom. As for the density of states at the Fermi level: 1.59 states/eV/f.u.

Cell and atoms, written as Quantum ESPRESSO input:
```
&SYSTEM
  ibrav = 0, nat = 6, ntyp = 3
/
ATOMIC_SPECIES
C 12.01 C.upf
Dy 162.50 Dy.upf
Pr 140.91 Pr.upf
ATOMIC_POSITIONS angstrom
C 3.683 0.953 0.161
C 0.091 1.941 1.894
Dy 2.517 2.569 2.000
C 2.434 0.630 0.106
C 4.943 3.197 2.106
Pr 0.000 0.000 0.000
CELL_PARAMETERS angstrom
-0.934 3.606 0.012
-0.149 -0.051 3.722
6.117 1.583 0.267
```

***

Calculated total energy, record by record: -261.23 -943.14 -831.09 -214.71 -302.56 -85.86 -449.27 -1741.28 -323.22 -323.26 -232.90 -132.99 eV for the cell shown